A plane-wave DFT calculation with PBE-GGA was carried out for a relaxed LaHoSn crystal.

Output
- total magnetic moment (μB/f.u.) = 0.013
- raw total energy (eV per atom) = -4.918

Unit cell a=5.260 b=5.260 c=5.260 alpha=60.00 beta=60.00 gamma=60.00
Fractional coordinates of all 3 atoms:
Ho: 0.500 0.500 0.500
La: 0.000 0.000 0.000
Sn: 0.250 0.250 0.250